1.
A relaxed structure of Sr3Li4Tl2, computed with PBE.

Results
magnetic moment: 0.00 μB/cell
formation energy from the elements: -1.9 eV per formula unit
E: -2.152 eV/atom

Cell: 5.0069 6.3089 9.6268 Å, 103.92 90.00 113.38°
Positions (direct):
Sr1 0.3811 0.7623 0.6258
Sr2 0.0000 0.0000 0.0000
Sr3 0.6189 0.2377 0.3742
Li1 0.7276 0.4553 0.0642
Li2 0.0967 0.1933 0.6580
Li3 0.9033 0.8067 0.3420
Li4 0.2724 0.5447 0.9358
Tl1 0.2948 0.5895 0.2401
Tl2 0.7052 0.4105 0.7599

---

2.
A relaxed structure of Sr2Li5Tl4, computed with PBE.

Results
magnetic moment: 0.00 μB/cell
formation energy from the elements: -2.7 eV per formula unit
E: -2.284 eV/atom

Cell: 6.0504 6.0504 9.5161 Å, 99.77 99.77 117.80°
Positions (direct):
Sr1 0.8504 0.8504 0.7009
Sr2 0.1496 0.1496 0.2991
Li1 0.5000 0.5000 0.0000
Li2 0.5000 0.0000 0.0000
Li3 0.0000 0.5000 0.0000
Li4 0.7500 0.2500 0.5000
Li5 0.2500 0.7500 0.5000
Tl1 0.4700 0.7876 0.2576
Tl2 0.5300 0.2124 0.7424
Tl3 0.2124 0.5300 0.7424
Tl4 0.7876 0.4700 0.2576

---

3.
A relaxed structure of SrLi4Tl, computed with PBE.

Results
magnetic moment: 0.00 μB/cell
formation energy from the elements: -0.7 eV per formula unit
E: -2.071 eV/atom
E above lowest polymorph: 13 meV per atom

Cell: 5.0070 8.3370 7.4328 Å, 90.00 90.00 90.00°
Positions (direct):
Sr1 0.0000 0.6376 0.7500
Sr2 0.0000 0.3624 0.2500
Li1 0.0000 0.0000 0.5000
Li2 0.0000 0.0000 0.0000
Li3 0.5000 0.9936 0.7500
Li4 0.5000 0.0064 0.2500
Li5 0.5000 0.6983 0.0656
Li6 0.5000 0.3017 0.9344
Li7 0.5000 0.6983 0.4344
Li8 0.5000 0.3017 0.5656
Tl1 0.0000 0.2398 0.7500
Tl2 0.0000 0.7602 0.2500

---

4.
A relaxed structure of Sr3Li2Tl9, computed with PBE.

Results
magnetic moment: 0.00 μB/cell
formation energy from the elements: -3.6 eV per formula unit
E: -2.414 eV/atom

Cell: 5.0587 9.5260 9.5260 Å, 72.38 74.60 74.60°
Positions (direct):
Sr1 0.0000 0.0000 0.0000
Sr2 0.7107 0.2893 0.2893
Sr3 0.2893 0.7107 0.7107
Li1 0.5000 0.3331 0.6669
Li2 0.5000 0.6669 0.3331
Tl1 0.0000 0.5000 0.5000
Tl2 0.6363 0.0008 0.7266
Tl3 0.3637 0.9992 0.2734
Tl4 0.6363 0.7266 0.0008
Tl5 0.3637 0.2734 0.9992
Tl6 0.8531 0.8565 0.4373
Tl7 0.1469 0.1435 0.5627
Tl8 0.8531 0.4373 0.8565
Tl9 0.1469 0.5627 0.1435

---

5.
A relaxed structure of Sr2Li2Tl5, computed with PBE.

Results
magnetic moment: 0.00 μB/cell
formation energy from the elements: -2.2 eV per formula unit
E: -2.356 eV/atom

Cell: 5.4248 5.4248 8.8487 Å, 90.00 90.00 90.00°
Positions (direct):
Sr1 0.0000 0.0000 0.0000
Sr2 0.0000 0.0000 0.5000
Li1 0.5000 0.5000 0.1592
Li2 0.5000 0.5000 0.8408
Tl1 0.5000 0.0000 0.2514
Tl2 0.5000 0.0000 0.7486
Tl3 0.0000 0.5000 0.2514
Tl4 0.0000 0.5000 0.7486
Tl5 0.5000 0.5000 0.5000

---

6.
A relaxed structure of Sr4Li3Tl16, computed with PBE.

Results
magnetic moment: 0.00 μB/cell
formation energy from the elements: -4.8 eV per formula unit
E: -2.397 eV/atom

Cell: 7.2588 7.2588 12.7365 Å, 90.00 90.00 90.00°
Positions (direct):
Sr1 0.5000 0.0000 0.8132
Sr2 0.0000 0.5000 0.1868
Sr3 0.0000 0.5000 0.8132
Sr4 0.5000 0.0000 0.1868
Li1 0.0000 0.5000 0.5000
Li2 0.0000 0.0000 0.0000
Li3 0.5000 0.0000 0.5000
Tl1 0.0000 0.0000 0.7839
Tl2 0.2740 0.2740 0.0000
Tl3 0.5000 0.5000 0.8035
Tl4 0.7260 0.2740 0.0000
Tl5 0.5000 0.5000 0.1965
Tl6 0.7260 0.7260 0.0000
Tl7 0.0000 0.0000 0.2161
Tl8 0.7444 0.7444 0.6234
Tl9 0.7444 0.2556 0.3766
Tl10 0.2556 0.2556 0.6234
Tl11 0.2556 0.7444 0.3766
Tl12 0.2740 0.7260 0.0000
Tl13 0.7444 0.7444 0.3766
Tl14 0.7444 0.2556 0.6234
Tl15 0.2556 0.2556 0.3766
Tl16 0.2556 0.7444 0.6234